In15SnO24 | Alexandria | GGA-PBEsol | optimized geometry; energy = -239.8 eV per cell
1.0
8.8136 -0.0015 -0.0007
-2.9309 8.3120 0.0007
-2.9411 -4.1555 7.2216
In O Sn
15 24 1
Cartesian
5.8796 5.2036 1.8001 In
5.6881 8.0356 0.0000 In
3.1393 7.1363 2.0404 In
3.1301 -2.2277 6.9792 In
-0.1804 3.2590 1.5603 In
-0.1998 6.3667 0.2424 In
2.7460 1.1773 5.1811 In
-0.1820 0.1352 3.8581 In
3.1324 -1.8014 3.6104 In
3.1296 4.0284 3.3635 In
2.9496 1.0343 1.7933 In
0.1926 -3.2424 5.6613 In
-2.9459 -1.0298 5.4283 In
0.0124 3.1194 5.4215 In
2.7474 3.8813 0.0000 In
-0.5791 2.3111 3.4573 O
6.3591 3.0260 1.6135 O
-0.5269 -0.9950 2.0800 O
0.6019 1.0449 5.7258 O
3.4587 8.0917 0.1506 O
-0.7810 5.2992 2.1258 O
1.9232 0.0531 3.4484 O
3.5410 1.7962 7.0710 O
-3.4998 4.3785 3.7650 O
3.9738 2.0594 0.1557 O
4.0496 1.9601 3.5088 O
-0.7924 -1.3714 5.3382 O
3.7271 5.0701 1.4958 O
-0.6144 5.1813 5.0964 O
1.9148 0.1189 0.0840 O
3.9701 -0.8960 1.7367 O
2.3525 5.9866 3.7732 O
2.1783 3.3274 5.1416 O
-3.4654 -2.3101 7.1376 O
-2.3196 0.2769 7.0659 O
-2.2008 2.8479 5.6080 O
6.3752 0.3139 3.7121 O
1.9116 2.9519 1.8834 O
3.7079 -0.7104 5.4842 O
-2.7303 2.3689 3.6111 Sn